No. 1
Entry from Alexandria via LeMat-Bulk: a geometry-optimized TcHg3N structure (GGA-PBE).

a = 4.618 Å, b = 4.618 Å, c = 4.618 Å
α = 90.00°, β = 90.00°, γ = 90.00°
Positions (direct):
Tc  0.000  0.000  0.000
Hg  0.000  0.500  0.500
Hg  0.500  0.000  0.500
Hg  0.500  0.500  0.000
N  0.500  0.500  0.500

Output
Polymorph energy (0 for the lowest one) ... 0.00 kcal/mol of atoms
Symmetry ... Pm-3m
Formation energy (no corrections) ... 1472 meV per atom


No. 2
Entry from Alexandria via LeMat-Bulk: a geometry-optimized VTc2HgN structure (GGA-PBE).

a = 5.122 Å, b = 5.122 Å, c = 5.130 Å
α = 90.00°, β = 90.00°, γ = 90.00°
Positions (direct):
V  0.000  0.000  0.000
Tc  0.000  0.500  0.500
Tc  0.500  0.000  0.500
Hg  0.000  0.000  0.500
N  0.500  0.500  0.000

Output
Symmetry ... P4/mmm
Formation energy (no corrections) ... 3175 meV per atom


No. 3
Entry from Alexandria via LeMat-Bulk: a geometry-optimized Zr2TcHgN structure (GGA-PBE).

a = 5.360 Å, b = 5.360 Å, c = 3.831 Å
α = 90.00°, β = 90.00°, γ = 90.00°
Positions (direct):
Zr  0.000  0.500  0.000
Zr  0.500  0.000  0.000
Tc  0.000  0.000  0.500
Hg  0.500  0.500  0.000
N  0.500  0.500  0.500

Output
Symmetry ... P4/mmm
Formation energy (no corrections) ... 1798 meV per atom


No. 4
Entry from Alexandria via LeMat-Bulk: a geometry-optimized Hg4Te2N3 structure (GGA-PBE).

a = 14.350 Å, b = 14.350 Å, c = 5.970 Å
α = 90.00°, β = 90.00°, γ = 159.90°
Positions (direct):
Hg  0.095  0.687  0.000
Hg  0.211  0.293  0.000
Hg  0.293  0.211  0.500
Hg  0.313  0.905  0.500
Hg  0.687  0.095  0.500
Hg  0.707  0.789  0.500
Hg  0.789  0.707  0.000
Hg  0.905  0.313  0.000
Te  0.239  0.468  0.500
Te  0.468  0.239  0.000
Te  0.532  0.761  0.000
Te  0.761  0.532  0.500
N  0.000  0.000  0.250
N  0.000  0.000  0.750
N  0.345  0.655  0.250
N  0.345  0.655  0.750
N  0.655  0.345  0.250
N  0.655  0.345  0.750

Output
Symmetry ... Cccm
Formation energy (no corrections) ... 781 meV per atom